1.
Computed, not measured: a geometry-optimized MnCoS2 structure at the PBE level of DFT.

Values from the calculation:
**ρ**: 5.6 Mg/m³
**Uncorrected formation energy**: 0.019 eV per atom
**E_tot**: -24.45 eV/f.u.
**Total magnetization**: 2.241 μB per formula unit
**DOS at the Fermi energy**: 3.036 states/eV/f.u.
**Energy above the most stable polymorph in this dataset**: 565 meV/atom

Lattice parameters (Å, degrees): 5.964 5.964 5.964 90.00 90.00 90.00
Positions (direct):
Mn  0.000  0.000  0.000
Mn  0.000  0.500  0.500
Mn  0.500  0.000  0.500
Mn  0.500  0.500  0.000
Co  0.000  0.000  0.500
Co  0.000  0.500  0.000
Co  0.500  0.000  0.000
Co  0.500  0.500  0.500
S  0.250  0.250  0.250
S  0.250  0.250  0.750
S  0.250  0.750  0.250
S  0.250  0.750  0.750
S  0.750  0.250  0.250
S  0.750  0.250  0.750
S  0.750  0.750  0.250
S  0.750  0.750  0.750

=====

2.
Computed, not measured: a geometry-optimized Mn2CoS2 structure at the PBE level of DFT.

Values from the calculation:
**ρ**: 5.9 Mg/m³
**Uncorrected formation energy**: -0.112 eV per atom
**E_tot**: -34.26 eV/f.u.
**Total magnetization**: 7.522 μB per formula unit
**DOS at the Fermi energy**: 3.261 states/eV/f.u.

Lattice parameters (Å, degrees): 6.326 6.326 3.304 90.00 90.00 90.00
Positions (direct):
Mn  0.147  0.353  0.000
Mn  0.353  0.853  0.000
Mn  0.647  0.147  0.000
Mn  0.853  0.647  0.000
Co  0.000  0.000  0.500
Co  0.500  0.500  0.500
S  0.167  0.667  0.500
S  0.333  0.167  0.500
S  0.667  0.833  0.500
S  0.833  0.333  0.500

=====

3.
Computed, not measured: a geometry-optimized Mn3Co2S8 structure at the PBE level of DFT.

Values from the calculation:
**ρ**: 3.9 Mg/m³
**Uncorrected formation energy**: -0.438 eV per atom
**E_tot**: -80.44 eV/f.u.
**Total magnetization**: 10.957 μB per formula unit
**DOS at the Fermi energy**: 2.229 states/eV/f.u.

Lattice parameters (Å, degrees): 6.725 6.725 6.213 106.95 106.95 60.12
Positions (direct):
Mn  0.000  0.000  0.000
Mn  0.252  0.748  0.500
Mn  0.748  0.252  0.500
Co  0.251  0.251  0.518
Co  0.749  0.749  0.482
S  0.107  0.627  0.709
S  0.121  0.121  0.730
S  0.372  0.372  0.293
S  0.373  0.893  0.291
S  0.627  0.107  0.709
S  0.628  0.628  0.707
S  0.879  0.879  0.270
S  0.893  0.373  0.291

=====

4.
Computed, not measured: a geometry-optimized MnCo2S4 structure at the PBE level of DFT.

Values from the calculation:
**ρ**: 4.7 Mg/m³
**Uncorrected formation energy**: -0.481 eV per atom
**E_tot**: -43.26 eV/f.u.
**Total magnetization**: 1.826 μB per formula unit
**DOS at the Fermi energy**: 5.122 states/eV/f.u.
**Energy above the most stable polymorph in this dataset**: 0 meV/atom

Lattice parameters (Å, degrees): 6.685 6.685 6.685 120.55 119.27 90.16
Positions (direct):
Mn  0.500  0.000  0.000
Mn  0.500  0.500  0.500
Co  0.000  0.000  0.000
Co  0.125  0.375  0.750
Co  0.500  0.000  0.500
Co  0.875  0.625  0.250
S  0.248  0.242  0.006
S  0.252  0.234  0.482
S  0.252  0.770  0.018
S  0.264  0.758  0.506
S  0.736  0.242  0.494
S  0.748  0.230  0.982
S  0.748  0.766  0.518
S  0.752  0.758  0.994

=====

5.
Computed, not measured: a geometry-optimized MnCoS structure at the PBE level of DFT.

Values from the calculation:
**ρ**: 6.0 Mg/m³
**Uncorrected formation energy**: -0.050 eV per atom
**E_tot**: -20.55 eV/f.u.
**Total magnetization**: 3.997 μB per formula unit
**DOS at the Fermi energy**: 2.262 states/eV/f.u.

Lattice parameters (Å, degrees): 5.437 5.437 5.437 90.00 90.00 90.00
Positions (direct):
Mn  0.000  0.000  0.000
Mn  0.000  0.500  0.500
Mn  0.500  0.000  0.500
Mn  0.500  0.500  0.000
Co  0.250  0.250  0.750
Co  0.250  0.750  0.250
Co  0.750  0.250  0.250
Co  0.750  0.750  0.750
S  0.000  0.000  0.500
S  0.000  0.500  0.000
S  0.500  0.000  0.000
S  0.500  0.500  0.500

=====

6.
Computed, not measured: a geometry-optimized MnCoS3 structure at the PBE level of DFT.

Values from the calculation:
**ρ**: 4.3 Mg/m³
**Uncorrected formation energy**: 0.876 eV per atom
**E_tot**: -24.28 eV/f.u.
**Total magnetization**: 0.212 μB per formula unit
**DOS at the Fermi energy**: 8.373 states/eV/f.u.
**Energy above the most stable polymorph in this dataset**: 1350 meV/atom

Lattice parameters (Å, degrees): 4.337 4.337 4.337 90.00 90.00 90.00
Positions (direct):
Mn  0.000  0.000  0.000
Co  0.500  0.500  0.500
S  0.000  0.500  0.500
S  0.500  0.000  0.500
S  0.500  0.500  0.000